1.
Below is Sm2BeC2 after structural relaxation, with properties calculated at the GGA-PBE level.

The structure in POSCAR format:
```
Sm2BeC2
1.0
7.200 0.000 0.000
0.000 5.252 0.000
0.000 0.000 8.872
Sm Be C
8 4 8
Cartesian
0.111 1.313 1.401 Sm
1.008 1.313 5.285 Sm
2.592 3.939 0.849 Sm
3.489 3.939 5.837 Sm
3.711 1.313 3.034 Sm
4.608 1.313 8.023 Sm
6.192 3.939 3.587 Sm
7.089 3.939 7.470 Sm
1.647 1.313 8.110 Be
1.953 3.939 3.674 Be
5.247 1.313 5.198 Be
5.553 3.939 0.762 Be
0.035 1.313 7.545 C
1.068 3.939 5.129 C
2.532 1.313 0.693 C
3.565 3.939 3.109 C
3.635 1.313 5.763 C
4.668 3.939 8.179 C
6.132 1.313 3.743 C
7.165 3.939 1.327 C
```

Calculated values
Total moment, μB/f.u.: 0.00
Crystal system: orthorhombic
Energy of formation from the pure elements, eV per atom: -0.08

=====

2.
Below is TmTiFeRu after structural relaxation, with properties calculated at the GGA-PBE level.

The structure in POSCAR format:
```
TmTiFeRu
1.0
0.000 3.170 3.170
3.170 0.000 3.170
3.170 3.170 0.000
Tm Ti Fe Ru
1 1 1 1
Cartesian
0.000 0.000 0.000 Tm
3.170 3.170 3.170 Ti
1.585 1.585 1.585 Fe
4.755 4.755 4.755 Ru
```

Calculated values
Total moment, μB/f.u.: 0.29
Crystal system: cubic
Energy of formation from the pure elements, eV per atom: -0.26

=====

3.
Below is Ac5CdAu2 after structural relaxation, with properties calculated at the GGA-PBE level.

The structure in POSCAR format:
```
Ac5CdAu2
1.0
-4.400 4.400 7.228
4.400 -4.400 7.228
4.400 4.400 -7.228
Ac Cd Au
10 2 4
Cartesian
0.000 0.000 0.000 Ac
5.772 1.372 -2.067 Ac
1.372 3.028 -2.067 Ac
5.772 1.372 2.067 Ac
1.372 3.028 2.067 Ac
0.000 0.000 7.228 Ac
3.028 1.372 5.161 Ac
-1.372 3.028 5.161 Ac
3.028 1.372 9.296 Ac
-1.372 3.028 9.296 Ac
0.000 0.000 3.614 Cd
0.000 0.000 10.843 Cd
3.214 1.186 0.000 Au
3.214 -1.186 7.228 Au
1.186 5.586 0.000 Au
1.186 3.214 7.228 Au
```

Calculated values
Total moment, μB/f.u.: 0.00
Crystal system: tetragonal
Energy of formation from the pure elements, eV per atom: -0.45

=====

4.
Below is PmSmAl6 after structural relaxation, with properties calculated at the GGA-PBE level.

The structure in POSCAR format:
```
PmSmAl6
1.0
6.416 0.000 0.000
-3.208 5.556 0.000
0.000 0.000 4.651
Pm Sm Al
1 1 6
Cartesian
0.000 0.000 0.000 Pm
0.000 3.704 2.326 Sm
1.837 1.060 2.326 Al
3.208 0.266 0.000 Al
1.834 2.645 0.000 Al
4.579 1.060 2.326 Al
3.208 3.436 2.326 Al
4.582 2.645 0.000 Al
```

Calculated values
Total moment, μB/f.u.: 0.00
Crystal system: hexagonal
Energy of formation from the pure elements, eV per atom: -0.45

=====

5.
Below is BeTlPS2 after structural relaxation, with properties calculated at the GGA-PBE level.

The structure in POSCAR format:
```
BeTlPS2
1.0
4.794 0.000 0.000
0.000 4.794 0.000
0.000 0.000 4.116
Be Tl P S
1 1 1 2
Cartesian
0.000 0.000 0.000 Be
2.397 2.397 2.058 Tl
0.000 0.000 2.058 P
0.000 2.397 0.000 S
2.397 0.000 0.000 S
```

Calculated values
Total moment, μB/f.u.: 0.00
Crystal system: tetragonal
Formation energy without anion corrections, eV per formula unit: 1.79
Relative energy among the computed polymorphs, eV per atom: 0.0000

=====

6.
Below is LiGdPuZn after structural relaxation, with properties calculated at the GGA-PBE level.

The structure in POSCAR format:
```
LiGdPuZn
1.0
0.000 3.626 3.626
3.626 0.000 3.626
3.626 3.626 0.000
Li Gd Pu Zn
1 1 1 1
Cartesian
0.000 0.000 0.000 Li
5.438 5.438 5.438 Gd
1.813 1.813 1.813 Pu
3.626 3.626 3.626 Zn
```

Calculated values
Total moment, μB/f.u.: 0.76
Crystal system: cubic
Energy of formation from the pure elements, eV per atom: 0.09

=====

7.
Below is Tl2FeHgBr6 after structural relaxation, with properties calculated at the GGA-PBE level.

The structure in POSCAR format:
```
Tl2FeHgBr6
1.0
7.523 0.000 0.000
3.497 6.679 0.000
3.570 2.095 6.329
Tl Fe Hg Br
2 1 1 6
Cartesian
3.410 2.041 1.482 Tl
11.180 6.732 4.847 Tl
0.000 0.000 0.000 Fe
7.295 4.387 3.165 Hg
5.080 3.688 4.930 Br
7.106 7.045 4.384 Br
5.590 5.556 1.025 Br
9.000 3.217 5.304 Br
7.484 1.728 1.946 Br
9.509 5.085 1.400 Br
```

Calculated values
Total moment, μB/f.u.: 4.04
Crystal system: triclinic
Formation energy without anion corrections, eV per formula unit: -5.57

=====

8.
Below is MnInSb4 after structural relaxation, with properties calculated at the GGA-PBE level.

The structure in POSCAR format:
```
MnInSb4
1.0
0.000 4.431 4.431
4.431 0.000 4.431
4.431 4.431 0.000
Mn In Sb
1 1 4
Cartesian
0.000 0.000 0.000 Mn
2.215 2.215 2.215 In
5.540 3.322 3.322 Sb
3.322 5.540 3.322 Sb
3.322 3.322 5.540 Sb
5.540 5.540 5.540 Sb
```

Calculated values
Total moment, μB/f.u.: 4.98
Crystal system: cubic
Formation energy without anion corrections, eV per formula unit: 2.80

=====

9.
Below is Mo2HOsRu after structural relaxation, with properties calculated at the GGA-PBE level.

The structure in POSCAR format:
```
Mo2HOsRu
1.0
3.989 0.000 0.000
0.000 3.989 0.000
0.000 0.000 3.896
Mo H Os Ru
2 1 1 1
Cartesian
0.000 1.995 0.000 Mo
1.995 0.000 0.000 Mo
0.000 0.000 0.000 H
0.000 0.000 1.948 Os
1.995 1.995 1.948 Ru
```

Calculated values
Total moment, μB/f.u.: 0.00
Crystal system: tetragonal
Relative energy among the computed polymorphs, eV per atom: 0.0361

=====

10.
Below is ThPIr2Ru after structural relaxation, with properties calculated at the GGA-PBE level.

The structure in POSCAR format:
```
ThPIr2Ru
1.0
-2.021 2.037 5.306
2.021 -2.037 5.306
2.021 2.037 -5.306
Th P Ir Ru
1 1 2 1
Cartesian
0.000 0.000 0.000 Th
0.000 0.000 3.962 P
0.000 0.000 6.260 Ir
0.000 2.037 2.783 Ir
2.021 0.000 2.772 Ru
```

Calculated values
Total moment, μB/f.u.: 0.00
Crystal system: orthorhombic
Energy of formation from the pure elements, eV per atom: -0.83

=====

11.
Below is Rb2PrBr4 after structural relaxation, with properties calculated at the GGA-PBE level.

The structure in POSCAR format:
```
Rb2PrBr4
1.0
-2.927 2.927 8.802
2.927 -2.927 8.802
2.927 2.927 -8.802
Rb Pr Br
2 1 4
Cartesian
0.000 0.000 2.432 Rb
0.000 0.000 15.172 Rb
0.000 0.000 8.802 Pr
2.927 0.000 0.000 Br
0.000 0.000 5.817 Br
0.000 2.927 0.000 Br
0.000 0.000 11.786 Br
```

Calculated values
Total moment, μB/f.u.: 0.49
Crystal system: tetragonal
Formation energy without anion corrections, eV per formula unit: -11.35

=====

12.
Below is ErLuCdAg after structural relaxation, with properties calculated at the GGA-PBE level.

The structure in POSCAR format:
```
ErLuCdAg
1.0
0.000 3.639 3.639
3.639 0.000 3.639
3.639 3.639 0.000
Er Lu Cd Ag
1 1 1 1
Cartesian
0.000 0.000 0.000 Er
3.639 3.639 3.639 Lu
1.820 1.820 1.820 Cd
5.459 5.459 5.459 Ag
```

Calculated values
Total moment, μB/f.u.: 0.00
Crystal system: cubic
Energy of formation from the pure elements, eV per atom: -0.31